This record from Alexandria via LeMat-Bulk describes a relaxed LiIn8Pd2 crystal. The functional is PBE-GGA.

The structure belongs to space group Cmmm (No. 65); the cell edges are 9.197, 12.308 and 4.686 Å and the angles 90.00°, 90.00° and 90.00°. The asymmetric unit holds Li at (0.000, 0.000, 0.000), In at (0.000, 0.124, 0.500), In at (0.000, 0.379, 0.500), In at (0.236, 0.379, 0.000) and Pd at (0.000, 0.240, 0.000).

Its density is 7.1 g/cm3. The value obtained for the density of states at the Fermi level is 10.1 states/eV per cell. Its crystal system is orthorhombic. For the calculated formation energy, the calculation gives -0.218 eV/atom. The calculation puts the total magnetization at 0.000 μB/cell.